1.
The following is a DFT calculation (GGA-PBE) of a geometry-optimized Hg2IrRh structure.

a b c (Å): 2.962 4.538 5.542
angles (deg): 90.00 105.03 90.00
Space group Pm (No. 6)
Unique sites:
Hg 0.000 0.000 0.000
Hg 0.337 0.500 0.690
Ir 0.611 0.500 0.225
Rh 0.724 0.000 0.462

As for the magnetization: 0.0 μB per formula unit. The calculation puts the volume at 17.991 Å³/atom. The calculation puts the energy of formation at 0.4372 eV/atom.



2.
The following is a DFT calculation (GGA-PBE) of a geometry-optimized Rb3YAg2Br9 structure.

a b c (Å): 7.8699 7.8699 9.7844
angles (deg): 90.00 90.00 120.00
Space group P-3m1 (No. 164)
Unique sites:
Rb 0.0000 0.0000 0.0000
Rb 0.3333 0.6667 0.6905
Y 0.0000 0.0000 0.5000
Ag 0.3333 0.6667 0.1540
Br 0.0000 0.5000 0.0000
Br 0.1669 0.3339 0.3347

As for the magnetization: 0.0 μB per formula unit. The calculation puts the volume at 34.987 Å³/atom. Its energy relative to the elements, uncorrected is -1.29 eV/atom.



3.
The following is a DFT calculation (GGA-PBE) of a geometry-optimized VZnCl2 structure.

a b c (Å): 3.2538 3.2538 30.6327
angles (deg): 90.00 90.00 120.00
Space group R-3m (No. 166, hexagonal axes)
Unique sites:
V 0.0000 0.0000 0.0000
Zn 0.0000 0.0000 0.5000
Cl 0.0000 0.0000 0.0708

As for the magnetization: 1.9 μB per formula unit. The calculation puts the volume at 23.406 Å³/atom. Its energy relative to the elements, uncorrected is -0.09 eV/atom.



4.
The following is a DFT calculation (GGA-PBE) of a geometry-optimized SrRuPb structure.

a b c (Å): 4.6525 4.6525 4.4825
angles (deg): 90.00 90.00 120.00
Space group P-6m2 (No. 187)
Unique sites:
Sr 0.0000 0.0000 0.0000
Ru 0.3333 0.6667 0.5000
Pb 0.6667 0.3333 0.5000

As for the magnetization: 0.2 μB per formula unit. The calculation puts the volume at 28.010 Å³/atom. The calculation puts the energy of formation at 0.1528 eV/atom.



Let's list VASP energy in order: -3.77, -3.30, -3.61, -4.74 eV/atom.